# 1
Cs2Ca: relaxed, PBE-GGA.

a = 8.7140 Å, b = 8.7140 Å, c = 8.7140 Å
α = 60.00°, β = 60.00°, γ = 60.00°
Last column: nearest neighbours and their distance in Å.
Sites, in units of the cell vectors:
Cs 0.1250 0.6250 0.6250  6 Cs 4.36
Cs 0.6250 0.1250 0.6250  6 Cs 4.36
Cs 0.6250 0.6250 0.6250  6 Cs 4.36
Cs 0.6250 0.6250 0.1250  6 Cs 4.36
Ca 0.0000 0.0000 0.0000  12 Cs 5.11, 4 Ca 5.34
Ca 0.2500 0.2500 0.2500  12 Cs 5.11, 4 Ca 5.34

M_tot = 0.409 μB per formula unit
final energy = -0.882 eV/atom
calculated density = 2.17 g/cm³

---

# 2
CsCa2Cu: relaxed, PBE-GGA.

a = 5.8069 Å, b = 5.8069 Å, c = 5.8069 Å
α = 60.00°, β = 60.00°, γ = 60.00°
Last column: nearest neighbours and their distance in Å.
Sites, in units of the cell vectors:
Cs 0.5000 0.5000 0.5000  8 Ca 3.56
Ca 0.2500 0.2500 0.2500  4 Cu 3.56, 4 Cs 3.56
Ca 0.7500 0.7500 0.7500  4 Cs 3.56, 4 Cu 3.56
Cu 0.0000 0.0000 0.0000  8 Ca 3.56

M_tot = 0.000 μB per formula unit
final energy = -1.782 eV/atom
calculated density = 3.32 g/cm³

---

# 3
CsCa3Cu: relaxed, PBE-GGA.

a = 5.9513 Å, b = 5.9513 Å, c = 5.9513 Å
α = 90.00°, β = 90.00°, γ = 90.00°
Last column: nearest neighbours and their distance in Å.
Sites, in units of the cell vectors:
Cs 0.5000 0.5000 0.5000  12 Ca 4.21
Ca 0.0000 0.5000 0.0000  2 Cu 2.98
Ca 0.0000 0.0000 0.5000  2 Cu 2.98
Ca 0.5000 0.0000 0.0000  2 Cu 2.98
Cu 0.0000 0.0000 0.0000  6 Ca 2.98

M_tot = 0.000 μB per formula unit
final energy = -2.081 eV/atom
calculated density = 2.49 g/cm³

---

# 4
CsCaCu3: relaxed, PBE-GGA.

a = 5.6269 Å, b = 5.6269 Å, c = 5.6269 Å
α = 90.00°, β = 90.00°, γ = 90.00°
Last column: nearest neighbours and their distance in Å.
Sites, in units of the cell vectors:
Cs 0.5000 0.5000 0.5000  12 Cu 3.98
Ca 0.0000 0.0000 0.0000  6 Cu 2.81
Cu 0.0000 0.5000 0.0000  2 Ca 2.81
Cu 0.0000 0.0000 0.5000  2 Ca 2.81
Cu 0.5000 0.0000 0.0000  2 Ca 2.81

M_tot = 0.000 μB per formula unit
final energy = -2.394 eV/atom
calculated density = 3.39 g/cm³

---

# 5
CsCa2Cu: relaxed, PBE-GGA.

a = 8.8505 Å, b = 8.8505 Å, c = 8.8181 Å
α = 59.88°, β = 59.88°, γ = 90.00°
Last column: nearest neighbours and their distance in Å.
Sites, in units of the cell vectors:
Cs 0.0000 0.0000 0.0000  12 Ca 5.16-5.21, 4 Cs 5.41, 4 Cu 5.41
Cs 0.7500 0.2500 0.5000  12 Ca 5.16-5.21, 4 Cu 5.41, 4 Cs 5.41
Ca 0.3786 0.1250 0.2500  2 Cu 2.70
Ca 0.3714 0.6250 0.2500  2 Cu 2.70
Ca 0.3750 0.6214 0.7500  2 Cu 2.70
Ca 0.8750 0.6286 0.7500  2 Cu 2.70
Cu 0.5000 0.5000 0.0000  4 Ca 2.70
Cu 0.2500 0.7500 0.5000  4 Ca 2.70

M_tot = 0.000 μB per formula unit
final energy = -1.927 eV/atom
calculated density = 1.89 g/cm³

---

# 6
CsCaCu3: relaxed, PBE-GGA.

a = 5.5837 Å, b = 5.5837 Å, c = 5.5837 Å
α = 90.00°, β = 90.00°, γ = 90.00°
Last column: nearest neighbours and their distance in Å.
Sites, in units of the cell vectors:
Cs 0.0000 0.0000 0.0000  6 Cu 2.79
Ca 0.5000 0.5000 0.5000  12 Cu 3.95
Cu 0.0000 0.5000 0.0000  2 Cs 2.79
Cu 0.0000 0.0000 0.5000  2 Cs 2.79
Cu 0.5000 0.0000 0.0000  2 Cs 2.79

M_tot = 0.000 μB per formula unit
final energy = -1.758 eV/atom
calculated density = 3.47 g/cm³

---

- Look up the M_tot of the sixth one.
  0.000 μB per formula unit